[1]
VASP calculation (SCAN) on a PBEsol-optimized structure of CoTeCl2.

Cell and atoms, written as extended XYZ:
```
4
Lattice="-0.9736 -1.4250 -2.4492 4.5392 -2.9680 -0.0777 -4.1028 -1.4312 4.2963" Properties=species:S:1:pos:R:3 pbc="T T T"
Te 2.2696 -1.4840 -0.0389
Co -0.4868 -0.7125 -1.2246
Cl 0.1754 -4.7099 0.8378
Cl -0.7126 -1.1143 0.9316
```

Summary:
Formation energy without anion corrections ... -169 meV/atom
N(E_F) ... 1.68 states/eV per cell
Raw total energy ... -17.80 eV/atom

***

[2]
VASP calculation (SCAN) on a PBEsol-optimized structure of CoTe2Cl.

Cell and atoms, written as extended XYZ:
```
4
Lattice="-2.1739 1.8869 3.7727 -4.4824 1.5164 -0.3568 -3.4891 -2.3794 2.1641" Properties=species:S:1:pos:R:3 pbc="T T T"
Te -2.5364 0.2560 1.3950
Te -7.6091 0.7679 4.1850
Co 0.0000 0.0000 0.0000
Cl -5.0727 0.5119 2.7900
```

Summary:
Formation energy without anion corrections ... 497 meV/atom
N(E_F) ... 1.73 states/eV per cell
E above lowest polymorph ... 759 meV/atom
Raw total energy ... -24.45 eV/atom

***

[3]
VASP calculation (SCAN) on a PBEsol-optimized structure of CoTe3Cl.

Cell and atoms, written as extended XYZ:
```
5
Lattice="4.9645 0.0000 0.0000 0.0000 4.9645 0.0000 0.0000 0.0000 4.9645" Properties=species:S:1:pos:R:3 pbc="T T T"
Te 0.0000 2.4822 0.0000
Te 0.0000 0.0000 2.4822
Te 2.4822 0.0000 0.0000
Co 0.0000 0.0000 0.0000
Cl 2.4822 2.4822 2.4822
```

Summary:
Formation energy without anion corrections ... 315 meV/atom
N(E_F) ... 6.26 states/eV per cell
Raw total energy ... -27.09 eV/atom